No. 1
Compound: Nd7ErMg4
Source: Alexandria via LeMat-Bulk
Functional: PBE
Structure: relaxed

POSCAR file:
```
Nd7ErMg4
1.0
7.7277 -2.9332 0.0000
7.7277 2.9332 0.0000
-5.0847 0.0000 8.4183
Nd Er Mg
7 1 4
Cartesian
0.0000 0.0000 0.0000
0.2012 0.0000 6.0044
4.0754 0.0000 1.0239
3.5365 0.0000 4.8289
6.8342 0.0000 3.5894
6.2953 0.0000 7.3944
10.1695 0.0000 2.4139
7.7277 0.0000 0.0000
-2.9372 0.0000 5.8391
0.9426 0.0000 2.9020
9.4281 0.0000 5.5163
13.3079 0.0000 2.5792
```

- Fermi-level density of states (states/eV per cell) = 14.01
- symmetry = C2/m, No. 12
- magnetization (μB per formula unit) = 0.000


No. 2
Compound: Nd6ErMg5
Source: Alexandria via LeMat-Bulk
Functional: PBE
Structure: relaxed

POSCAR file:
```
Nd6ErMg5
1.0
5.5277 0.0000 0.0000
0.0000 7.8119 0.0000
-2.7641 0.0000 8.3478
Nd Er Mg
6 1 5
Cartesian
0.0000 1.8746 0.0000
0.0000 5.9373 0.0000
0.0124 1.9381 5.5121
0.0124 5.8738 5.5121
2.7511 1.9381 2.8356
2.7511 5.8738 2.8356
2.7638 3.9059 0.0000
-0.0144 3.9059 2.6943
-0.0170 0.0000 2.7894
2.7638 0.0000 0.0000
2.7806 0.0000 5.5584
2.7779 3.9059 5.6535
```

- Fermi-level density of states (states/eV per cell) = 13.56
- symmetry = P2/m, No. 10
- magnetization (μB per formula unit) = 0.000


No. 3
Compound: Nd2Er5Mg
Source: Alexandria via LeMat-Bulk
Functional: PBE
Structure: relaxed

POSCAR file:
```
Nd2Er5Mg
1.0
6.9897 0.0000 0.0000
0.0000 6.9897 0.0000
0.0000 0.0000 10.0806
Nd Er Mg
4 10 2
Cartesian
0.0000 3.4949 0.0000
0.0000 3.4949 5.0403
3.4949 0.0000 0.0000
3.4949 0.0000 5.0403
0.0000 0.0000 0.0000
1.7474 1.7474 2.5201
1.7474 1.7474 7.5604
1.7474 5.2423 2.5201
1.7474 5.2423 7.5604
3.4949 3.4949 5.0403
5.2423 1.7474 2.5201
5.2423 1.7474 7.5604
5.2423 5.2423 2.5201
5.2423 5.2423 7.5604
0.0000 0.0000 5.0403
3.4949 3.4949 0.0000
```

- Fermi-level density of states (states/eV per cell) = 18.61
- symmetry = I4/mmm, No. 139
- magnetization (μB per formula unit) = 0.000


| no. | formation energy (kcal/mol of atoms) |
| --- | --- |
| 1 | 2.9 |
| 2 | -1.4 |
| 3 | 0.5 |